Record 1
## TmSc2InO (PBE)

Data for a relaxed TmSc2InO crystal. Values from VASP.

Magnetic moment: 0.00 μB per cell
Space-group type: P4/mmm, No. 123
Uncorrected formation energy: -1442 meV/atom

The structure in Quantum ESPRESSO input format:
```
&SYSTEM
  ibrav = 0, nat = 5, ntyp = 4
/
ATOMIC_SPECIES
Tm 168.93 Tm.upf
Sc 44.96 Sc.upf
In 114.82 In.upf
O 16.00 O.upf
CELL_PARAMETERS angstrom
-0.7099 2.8809 -3.5749
-3.2699 -2.6900 -1.5184
-3.0115 2.2842 2.4387
ATOMIC_POSITIONS angstrom
Tm -0.3549 1.4404 -1.7875
Sc -1.5058 1.1421 1.2194
Sc -1.6350 -1.3450 -0.7592
In -3.4957 1.2375 -1.3273
O 0.0000 0.0000 0.0000
```

***

Record 2
## RbSiPd3 (PBE)

Data for a relaxed RbSiPd3 crystal. Values from VASP.

Magnetic moment: 0.00 μB per cell
Relative energy among the computed polymorphs: 1789 meV/atom
Space-group type: Pm-3m, No. 221
Uncorrected formation energy: 1699 meV/atom

The structure in Quantum ESPRESSO input format:
```
&SYSTEM
  ibrav = 0, nat = 5, ntyp = 3
/
ATOMIC_SPECIES
Pd 106.42 Pd.upf
Rb 85.47 Rb.upf
Si 28.09 Si.upf
CELL_PARAMETERS angstrom
-5.0104 0.8532 0.1591
-0.7758 -3.9848 -3.0622
-0.3892 -3.0415 4.0565
ATOMIC_POSITIONS angstrom
Pd -0.1946 -1.5208 2.0283
Pd -0.3879 -1.9924 -1.5311
Rb 0.0000 0.0000 0.0000
Si -3.0877 -3.0865 0.5767
Pd -2.5052 0.4266 0.0795
```

***

Record 3
## AlZn3S (PBE)

Data for a relaxed AlZn3S crystal. Values from VASP.

Magnetic moment: 0.00 μB per cell
Relative energy among the computed polymorphs: 0 meV/atom
Space-group type: Pm-3m, No. 221
Uncorrected formation energy: 481 meV/atom

The structure in Quantum ESPRESSO input format:
```
&SYSTEM
  ibrav = 0, nat = 5, ntyp = 3
/
ATOMIC_SPECIES
Zn 65.41 Zn.upf
S 32.06 S.upf
Al 26.98 Al.upf
CELL_PARAMETERS angstrom
-3.2551 -3.2376 1.1568
3.3982 -2.7880 1.7594
-0.5219 2.0399 4.2405
ATOMIC_POSITIONS angstrom
Zn 1.6991 -1.3940 0.8797
Zn -1.6276 -1.6188 0.5784
S 0.0000 0.0000 0.0000
Zn -0.2610 1.0199 2.1203
Al -0.1894 -1.9928 3.5783
```

***

Record 4
## La4Tb3Pm4 (PBE)

Data for a relaxed La4Tb3Pm4 crystal. Values from VASP.

Energy of formation from the pure elements: 13 kJ per mole of atoms
Magnetic moment: 0.00 μB per cell
Relative energy among the computed polymorphs: 18 meV/atom
Space-group type: Amm2, No. 38

The structure in Quantum ESPRESSO input format:
```
&SYSTEM
  ibrav = 0, nat = 11, ntyp = 3
/
ATOMIC_SPECIES
La 138.91 La.upf
Pm 145.00 Pm.upf
Tb 158.93 Tb.upf
CELL_PARAMETERS angstrom
5.8182 0.0000 0.0000
-2.9091 6.0902 0.0000
0.0000 0.0000 10.8671
ATOMIC_POSITIONS angstrom
La 2.9091 3.1594 8.6850
La 2.9091 4.6960 5.4336
Pm 2.9091 0.5530 0.0000
Pm 2.9091 1.3334 5.4336
Pm 0.0000 1.2876 3.2963
Pm 0.0000 1.2876 7.5708
La 2.9091 5.5560 0.0000
La 2.9091 3.1594 2.1822
Tb 0.0000 4.9946 7.7102
Tb 0.0000 3.0654 0.0000
Tb 0.0000 4.9946 3.1569
```

***

Record 5
## TlSn2Bi2 (PBE)

Data for a relaxed TlSn2Bi2 crystal. Values from VASP.

Energy of formation from the pure elements: 4 kJ per mole of atoms
Magnetic moment: 0.00 μB per cell
Relative energy among the computed polymorphs: 0 meV/atom
Space-group type: C2/m, No. 12

The structure in Quantum ESPRESSO input format:
```
&SYSTEM
  ibrav = 0, nat = 5, ntyp = 3
/
ATOMIC_SPECIES
Sn 118.71 Sn.upf
Bi 208.98 Bi.upf
Tl 204.38 Tl.upf
CELL_PARAMETERS angstrom
3.2935 -0.0004 -0.6332
-0.2295 4.0682 -1.1955
0.5199 1.1591 11.3708
ATOMIC_POSITIONS angstrom
Sn 2.5003 1.3195 4.0038
Bi 1.6360 2.5223 8.2599
Tl 0.0000 0.0002 -0.0001
Bi 1.9480 2.7048 1.2821
Sn 1.0837 3.9076 5.5382
```

***

Record 6
## RbSI2O (PBE)

Data for a relaxed RbSI2O crystal. Values from VASP.

Magnetic moment: 0.00 μB per cell
Relative energy among the computed polymorphs: 0 meV/atom
Space-group type: P4/mmm, No. 123
Uncorrected formation energy: -371 meV/atom

The structure in Quantum ESPRESSO input format:
```
&SYSTEM
  ibrav = 0, nat = 5, ntyp = 4
/
ATOMIC_SPECIES
O 16.00 O.upf
I 126.90 I.upf
Rb 85.47 Rb.upf
S 32.06 S.upf
CELL_PARAMETERS angstrom
6.1713 0.0000 0.0000
0.0000 6.1713 0.0000
0.0000 0.0000 3.7153
ATOMIC_POSITIONS angstrom
O 0.0000 0.0000 1.8577
I 3.0857 0.0000 0.0000
I 0.0000 3.0857 0.0000
Rb 3.0857 3.0857 1.8577
S 0.0000 0.0000 0.0000
```

***

Record 7
## TaMoHRh2 (PBE)

Data for a relaxed TaMoHRh2 crystal. Values from VASP.

Magnetic moment: 0.00 μB per cell
Relative energy among the computed polymorphs: 0 meV/atom
Space-group type: P4/mmm, No. 123

The structure in Quantum ESPRESSO input format:
```
&SYSTEM
  ibrav = 0, nat = 5, ntyp = 4
/
ATOMIC_SPECIES
H 1.01 H.upf
Mo 95.94 Mo.upf
Ta 180.95 Ta.upf
Rh 102.91 Rh.upf
CELL_PARAMETERS angstrom
-2.2868 -3.1530 0.5761
2.7761 -1.5946 2.2920
-1.6642 1.8046 3.2711
ATOMIC_POSITIONS angstrom
H 0.0000 0.0000 0.0000
Mo -0.8321 0.9023 1.6356
Ta -0.5874 -1.4715 3.0696
Rh -1.1434 -1.5765 0.2880
Rh 1.3880 -0.7973 1.1460
```

***

Record 8
## CaGa2As2 (PBE)

Data for a relaxed CaGa2As2 crystal. Values from VASP.

Energy of formation from the pure elements: -62 kJ per mole of atoms
Magnetic moment: 0.00 μB per cell
Relative energy among the computed polymorphs: 0 meV/atom
Space-group type: R-3m, No. 166

The structure in Quantum ESPRESSO input format:
```
&SYSTEM
  ibrav = 0, nat = 5, ntyp = 3
/
ATOMIC_SPECIES
Ca 40.08 Ca.upf
Ga 69.72 Ga.upf
As 74.92 As.upf
CELL_PARAMETERS angstrom
8.7046 -0.0103 -0.0061
7.7713 3.9213 -0.0061
7.7713 1.8448 3.4603
ATOMIC_POSITIONS angstrom
Ca 0.0000 0.0000 0.0000
Ga 13.3141 3.1605 1.8933
Ga 10.9331 2.5953 1.5547
As 18.0183 4.2772 2.5623
As 6.2289 1.4786 0.8858
```

***

Record 9
## BaScHg2 (PBE)

Data for a relaxed BaScHg2 crystal. Values from VASP.

Energy of formation from the pure elements: -19 kJ per mole of atoms
Magnetic moment: 0.19 μB per cell
Space-group type: P4mm, No. 99

The structure in Quantum ESPRESSO input format:
```
&SYSTEM
  ibrav = 0, nat = 4, ntyp = 3
/
ATOMIC_SPECIES
Hg 200.59 Hg.upf
Sc 44.96 Sc.upf
Ba 137.33 Ba.upf
CELL_PARAMETERS angstrom
-2.5785 3.0959 -0.4151
-3.1029 -2.4724 0.8343
0.7245 1.6005 7.4373
ATOMIC_POSITIONS angstrom
Hg 0.0205 0.0453 0.2106
Sc 0.2923 0.6458 3.0010
Hg -2.6302 0.7768 2.3704
Ba -2.2772 1.5564 5.9933
```

***

Record 10
## NiGeRu2Se (PBE)

Data for a relaxed NiGeRu2Se crystal. Values from VASP.

Magnetic moment: 0.81 μB per cell
Space-group type: P4/mmm, No. 123
Uncorrected formation energy: 831 meV/atom

The structure in Quantum ESPRESSO input format:
```
&SYSTEM
  ibrav = 0, nat = 5, ntyp = 4
/
ATOMIC_SPECIES
Ni 58.69 Ni.upf
Se 78.96 Se.upf
Ge 72.64 Ge.upf
Ru 101.07 Ru.upf
CELL_PARAMETERS angstrom
-1.1888 -0.9188 4.3357
3.5613 -2.3280 0.4831
2.2535 3.7400 1.4105
ATOMIC_POSITIONS angstrom
Ni 1.7807 -1.1640 0.2416
Se 0.0000 0.0000 0.0000
Ge 2.3130 0.2466 3.1147
Ru -0.5944 -0.4594 2.1678
Ru 1.1268 1.8700 0.7052
```

***

Record 11
## Rb3P2H6Se (PBE)

Data for a relaxed Rb3P2H6Se crystal. Values from VASP.

Magnetic moment: 0.00 μB per cell
Space-group type: P-3m1, No. 164
VASP energy: -3.364 eV/atom

The structure in Quantum ESPRESSO input format:
```
&SYSTEM
  ibrav = 0, nat = 12, ntyp = 4
/
ATOMIC_SPECIES
H 1.01 H.upf
Rb 85.47 Rb.upf
P 30.97 P.upf
Se 78.96 Se.upf
CELL_PARAMETERS angstrom
-5.1004 3.0482 -0.1830
0.8022 -4.6699 -3.5899
-2.8150 -4.4040 5.1000
ATOMIC_POSITIONS angstrom
H -5.7055 -3.6451 1.7482
H -4.2046 -3.0789 3.0656
Rb -2.9494 -4.8884 0.7781
H -2.9085 -2.9469 -1.7384
Rb -4.1637 -1.1373 0.5491
H -5.9856 -2.0144 3.0017
P -1.4832 -2.5944 -1.8784
P -5.6300 -3.4313 3.2056
H -1.4076 -2.3806 -0.4210
Se -1.4075 -2.2020 2.5500
Rb 0.0000 0.0000 0.0000
H -1.1275 -4.0113 -1.6745
```

***

Record 12
## LiCeB14 (PBE)

Data for a relaxed LiCeB14 crystal. Values from VASP.

Energy of formation from the pure elements: -27 kJ per mole of atoms
Magnetic moment: 1.27 μB per cell
Space-group type: Imma, No. 74

The structure in Quantum ESPRESSO input format:
```
&SYSTEM
  ibrav = 0, nat = 32, ntyp = 3
/
ATOMIC_SPECIES
B 10.81 B.upf
Ce 140.12 Ce.upf
Li 6.94 Li.upf
CELL_PARAMETERS angstrom
-2.2471 3.9436 3.7057
-5.8927 -2.3855 3.5979
1.5987 -1.3181 7.0047
ATOMIC_POSITIONS angstrom
B -5.6803 0.8088 9.5923
B 0.5029 -0.8154 5.8052
Ce -3.9050 0.3226 11.1863
B -0.3756 0.4286 1.6356
B -5.0434 -2.1577 10.8224
Li -0.3242 1.3127 5.3552
B -4.3457 0.4489 8.4716
B -1.6033 1.3898 9.9659
B -3.7253 -2.4024 9.5627
B -0.4494 0.9682 3.3297
B -2.1953 -0.2089 5.8367
B -6.1654 -0.1886 12.6727
Ce -2.6360 -0.0826 3.1220
B -4.9378 -1.1498 4.3424
B -3.9926 -0.2459 5.6252
B -1.8080 0.9872 7.1181
B -3.1601 1.3559 5.9059
B -7.0440 1.0553 8.5030
B -6.4668 1.5335 6.8638
B -1.4977 2.3977 3.4858
B -4.7330 -0.7473 7.1902
B -2.8157 2.6424 4.7456
B -0.8608 -0.5689 4.7160
B -3.2206 -1.5256 6.6162
B -2.5485 0.4858 8.6831
B -6.0917 -0.7282 10.9786
B -3.3204 1.7656 7.6921
Li 0.7994 -0.6590 3.5023
B -1.8303 -0.7744 7.4988
B -0.0743 -1.2935 7.4445
B -3.3810 -1.1159 8.4024
B -4.7107 1.0144 6.8094
```